Hg2PtAu | PBE | optimized geometry

Properties
The formation energy comes out at 0.0946 eV per atom. The value obtained for the energy is -2.39 eV per atom.

a = 2.9978 Å, b = 2.9978 Å, c = 8.5233 Å
α = 90.00°, β = 90.00°, γ = 90.00°
Last column: nearest neighbours and their distance in Å.
Space group P4/mmm (No. 123)
Asymmetric unit:
Hg1 0.0000 0.0000 0.2373  4 Pt 2.93, 4 Hg 3.00, 4 Au 3.08
Pt1 0.5000 0.5000 0.0000  8 Hg 2.93, 4 Pt 3.00
Au1 0.5000 0.5000 0.5000  4 Au 3.00, 8 Hg 3.08

Sn4BiPb5 | PBE | optimized geometry

Properties
The formation energy comes out at 0.0589 eV per atom. The value obtained for the energy is -3.78 eV per atom.

a = 3.4571 Å, b = 3.4571 Å, c = 25.2859 Å
α = 90.00°, β = 90.00°, γ = 90.00°
Last column: nearest neighbours and their distance in Å.
Space group P4/mmm (No. 123)
Asymmetric unit:
Sn1 0.0000 0.0000 0.0997  4 Sn 3.46, 8 Pb 3.47-3.51
Sn2 0.0000 0.0000 0.2962  8 Pb 3.44-3.50, 4 Sn 3.46
Bi1 0.0000 0.0000 0.5000  4 Bi 3.46, 8 Pb 3.66
Pb1 0.5000 0.5000 0.0000  4 Pb 3.46, 8 Sn 3.51
Pb2 0.5000 0.5000 0.1971  4 Pb 3.46, 8 Sn 3.47-3.50
Pb3 0.5000 0.5000 0.3921  4 Sn 3.44, 4 Pb 3.46, 4 Bi 3.66

K3Nd3HfSe8 | PBE | optimized geometry

Properties
For the formation energy without anion corrections, the calculation gives -1.663 eV per atom. The value obtained for the energy is -5.36 eV per atom.

a = 8.4664 Å, b = 8.4664 Å, c = 23.5435 Å
α = 90.00°, β = 90.00°, γ = 120.00°
Last column: nearest neighbours and their distance in Å.
Space group R-3m (No. 166, hexagonal axes)
Asymmetric unit:
K1 0.0000 0.5000 0.0000  6 Se 3.33-3.34
Nd1 0.0000 0.5000 0.5000  6 Se 2.96-2.98
Hf1 0.0000 0.0000 0.5000  6 Se 2.73
Se1 0.0000 0.0000 0.2373  3 Nd 2.96
Se2 0.0263 0.5131 0.2325  1 Hf 2.73, 2 Nd 2.98